Below is an optimized crystal structure of TiReNiMo, with properties calculated at the PBE level.

The space group is F-43m (No. 216) and the conventional cell measures 6.154, 6.154 and 6.154 Å, with angles of 90.00, 90.00 and 90.00 degrees. The inequivalent atoms are Ti at (0.000, 0.000, 0.000), Re at (0.250, 0.250, 0.250), Ni at (0.250, 0.250, 0.750) and Mo at (0.000, 0.000, 0.500).

The value obtained for the energy of formation is -14 kJ per mole of atoms. The final energy is -37.55 eV/f.u.

=====

Below is an optimized crystal structure of PmCdBi4, with properties calculated at the PBE level.

The space group is F-43m (No. 216) and the conventional cell measures 9.242, 9.242 and 9.242 Å, with angles of 90.00, 90.00 and 90.00 degrees. The inequivalent atoms are Pm at (0.000, 0.000, 0.000), Cd at (0.250, 0.250, 0.750) and Bi at (0.124, 0.124, 0.376).

The value obtained for the energy of formation is -2 kJ per mole of atoms. The final energy is -21.33 eV/f.u.

=====

Below is an optimized crystal structure of Li8MgCd6, with properties calculated at the PBE level.

The space group is R-3 (No. 148, hexagonal axes) and the conventional cell measures 8.5689, 8.5689 and 14.9993 Å, with angles of 90.00, 90.00 and 120.00 degrees. The inequivalent atoms are Li at (0.0000, 0.0000, 0.1064), Li at (0.0496, 0.2319, 0.6805), Mg at (0.0000, 0.0000, 0.5000) and Cd at (0.0138, 0.3115, 0.1825).

The energy above the most stable polymorph in this dataset comes out at 0 meV per atom. The value obtained for the energy of formation is -13 kJ per mole of atoms. The final energy is -24.36 eV/f.u.

=====

Below is an optimized crystal structure of BaYZn2W, with properties calculated at the PBE level.

The space group is P4/mmm (No. 123) and the conventional cell measures 5.519, 5.519 and 5.228 Å, with angles of 90.00, 90.00 and 90.00 degrees. The inequivalent atoms are Ba at (0.000, 0.000, 0.000), Y at (0.500, 0.500, 0.500), Zn at (0.000, 0.500, 0.500) and W at (0.500, 0.500, 0.000).

The value obtained for the energy of formation is 99 kJ per mole of atoms. The final energy is -18.74 eV/f.u.

=====

Below is an optimized crystal structure of FeTeSeN2, with properties calculated at the PBE level.

The space group is P4/mmm (No. 123) and the conventional cell measures 3.811, 3.811 and 5.133 Å, with angles of 90.00, 90.00 and 90.00 degrees. The inequivalent atoms are Fe at (0.000, 0.000, 0.000), Te at (0.500, 0.500, 0.500), Se at (0.000, 0.000, 0.500) and N at (0.000, 0.500, 0.000).

The energy above the most stable polymorph in this dataset comes out at 93 meV per atom. The energy relative to the elements, uncorrected is 1.021 eV/atom. The final energy is -26.63 eV/f.u.

=====

Below is an optimized crystal structure of Rb2SrHfCl, with properties calculated at the PBE level.

The space group is P4/mmm (No. 123) and the conventional cell measures 7.814, 7.814 and 4.872 Å, with angles of 90.00, 90.00 and 90.00 degrees. The inequivalent atoms are Rb at (0.000, 0.500, 0.000), Sr at (0.000, 0.000, 0.500), Hf at (0.500, 0.500, 0.000) and Cl at (0.500, 0.500, 0.500).

The energy relative to the elements, uncorrected is 0.360 eV/atom. The final energy is -13.62 eV/f.u.